(1)
Al3TeC | PBE | optimized geometry

Results
Distance to the lowest polymorph of the same formula in meV/atom: 1785
Space group: No. 221
Formation energy (no corrections) in eV/atom: 2.193

Cell: 5.464 5.464 5.464 Å, 90.00 90.00 90.00°
Sites, in units of the cell vectors:
Al  0.000  0.000  0.500
Al  0.000  0.500  0.000
Al  0.500  0.000  0.000
Te  0.000  0.000  0.000
C  0.500  0.500  0.500

(2)
ZnIrW2 | PBE | optimized geometry

Results
E_form in meV/atom: 720
Space group: No. 122

Cell: 7.238 7.238 5.212 Å, 90.00 90.00 90.00°
Sites, in units of the cell vectors:
Zn  0.000  0.000  0.000
Zn  0.000  0.500  0.250
Zn  0.500  0.000  0.750
Zn  0.500  0.500  0.500
Ir  0.000  0.000  0.500
Ir  0.000  0.500  0.750
Ir  0.500  0.000  0.250
Ir  0.500  0.500  0.000
W  0.225  0.750  0.625
W  0.250  0.225  0.375
W  0.250  0.275  0.875
W  0.275  0.750  0.125
W  0.725  0.250  0.125
W  0.750  0.725  0.875
W  0.750  0.775  0.375
W  0.775  0.250  0.625

(3)
Cd2SiHg | PBE | optimized geometry

Results
Distance to the lowest polymorph of the same formula in meV/atom: 47
Space group: No. 35
Formation energy (no corrections) in eV/atom: 0.294

Cell: 2.889 5.669 10.764 Å, 90.00 90.00 90.00°
Sites, in units of the cell vectors:
Cd  0.000  0.000  0.000
Cd  0.000  0.500  0.259
Cd  0.500  0.000  0.259
Cd  0.500  0.500  0.000
Si  0.000  0.500  0.766
Si  0.500  0.000  0.766
Hg  0.000  0.000  0.521
Hg  0.500  0.500  0.521

(4)
Pr2CdPdO6 | PBE | optimized geometry

Results
Space group: No. 14
Formation energy (no corrections) in eV/atom: -2.011

Cell: 5.633 6.028 9.876 Å, 90.00 124.73 90.00°
Sites, in units of the cell vectors:
Pr  0.225  0.069  0.248
Pr  0.225  0.431  0.748
Pr  0.775  0.569  0.252
Pr  0.775  0.931  0.752
Cd  0.000  0.000  0.500
Cd  0.000  0.500  0.000
Pd  0.500  0.000  0.000
Pd  0.500  0.500  0.500
O  0.149  0.181  0.945
O  0.149  0.319  0.445
O  0.257  0.714  0.931
O  0.257  0.786  0.431
O  0.387  0.051  0.766
O  0.387  0.449  0.266
O  0.613  0.551  0.734
O  0.613  0.949  0.234
O  0.743  0.214  0.569
O  0.743  0.286  0.069
O  0.851  0.681  0.555
O  0.851  0.819  0.055

(5)
K2ReHg | PBE | optimized geometry

Results
E_form in meV/atom: 1242
Space group: No. 71

Cell: 4.256 4.266 11.221 Å, 90.00 90.00 90.00°
Sites, in units of the cell vectors:
K  0.000  0.000  0.250
K  0.000  0.000  0.750
K  0.500  0.500  0.250
K  0.500  0.500  0.750
Re  0.000  0.500  0.000
Re  0.500  0.000  0.500
Hg  0.000  0.500  0.500
Hg  0.500  0.000  0.000

(6)
CaCu3P | PBE | optimized geometry

Results
Distance to the lowest polymorph of the same formula in meV/atom: 0
E_form in meV/atom: -34
Space group: No. 221

Cell: 4.456 4.456 4.456 Å, 90.00 90.00 90.00°
Sites, in units of the cell vectors:
Ca  0.000  0.000  0.000
Cu  0.000  0.500  0.500
Cu  0.500  0.000  0.500
Cu  0.500  0.500  0.000
P  0.500  0.500  0.500

(7)
MgPb2Au | PBE | optimized geometry

Results
E_form in meV/atom: -35
Space group: No. 10

Cell: 3.652 4.501 6.307 Å, 90.00 96.13 90.00°
Sites, in units of the cell vectors:
Mg  0.000  0.000  0.000
Pb  0.409  0.500  0.739
Pb  0.591  0.500  0.261
Au  0.000  0.000  0.500

(8)
PmPr5Y5 | PBE | optimized geometry

Results
Distance to the lowest polymorph of the same formula in meV/atom: 46
E_form in meV/atom: 295
Space group: No. 187

Cell: 6.192 6.192 11.970 Å, 90.00 90.00 120.00°
Sites, in units of the cell vectors:
Pm  0.000  0.000  0.000
Pr  0.000  0.000  0.316
Pr  0.000  0.000  0.684
Pr  0.333  0.667  0.153
Pr  0.333  0.667  0.847
Pr  0.667  0.333  0.000
Y  0.500  0.001  0.500
Y  0.500  0.500  0.500
Y  0.667  0.333  0.263
Y  0.667  0.333  0.737
Y  0.999  0.500  0.500